Arrangement i

Compound: GeSbH
Source: Alexandria
Functional: PBE
Structure: optimized geometry

Cell: 4.0742 4.0742 6.7519 Å, 90.00 90.00 90.00°
With the nearest neighbours (Å) after each atom.
Fractional coordinates of all 6 atoms:
Ge: 0.0000 0.0000 0.0000  1 H 1.76
Ge: 0.5000 0.5000 0.5000  1 H 1.76
Sb: 0.0000 0.0000 0.5526  1 H 1.97
Sb: 0.5000 0.5000 0.0526  1 H 1.97
H: 0.0000 0.0000 0.2603  1 Ge 1.76
H: 0.5000 0.5000 0.7603  1 Ge 1.76

Arrangement ii

Compound: GeSbH
Source: Alexandria
Functional: PBE
Structure: optimized geometry

Cell: 8.2031 6.0401 8.8814 Å, 63.38 41.17 75.45°
With the nearest neighbours (Å) after each atom.
Fractional coordinates of all 12 atoms:
Ge: 0.1070 0.8930 0.3547  1 H 1.58
Ge: 0.6047 0.8953 0.3570  1 H 1.58
Ge: 0.8930 0.1070 0.6453  1 H 1.58
Ge: 0.8953 0.6047 0.1430  1 H 1.58
Sb: 0.1663 0.4244 0.5546  1 H 2.66, 2 Ge 2.72-2.74
Sb: 0.3953 0.6954 0.8256  1 H 2.66, 2 Ge 2.72-2.74
Sb: 0.4244 0.1663 0.8547  1 H 2.66, 2 Ge 2.72-2.74
Sb: 0.6954 0.3953 0.0837  1 H 2.66, 2 Ge 2.72-2.74
H: 0.3782 0.8409 0.4176  1 Ge 1.58
H: 0.8324 0.8867 0.8718  1 Ge 1.58
H: 0.8409 0.3782 0.3633  1 Ge 1.58
H: 0.8867 0.8324 0.4091  1 Ge 1.58

In terms of stability, arrangement ii leads; the second structure lies 99 meV per atom higher.

Arrangement i

Compound: ScGeH
Source: Alexandria
Functional: PBE
Structure: optimized geometry

Cell: 4.0025 6.8505 7.0669 Å, 90.00 90.00 90.00°
With the nearest neighbours (Å) after each atom.
Fractional coordinates of all 12 atoms:
Sc: 0.0000 0.0000 0.0000  2 H 1.97
Sc: 0.0000 0.5000 0.0000  2 H 1.97
Sc: 0.5000 0.0000 0.5000  2 H 1.97
Sc: 0.5000 0.5000 0.5000  2 H 1.97
Ge: 0.0004 0.2500 0.3616  2 Ge 2.55, 2 H 2.79-2.82, 4 Sc 2.81
Ge: 0.9996 0.7500 0.6384  2 Ge 2.55, 2 H 2.79-2.82, 4 Sc 2.81
Ge: 0.5004 0.2500 0.1384  2 Ge 2.55, 2 H 2.79-2.82, 4 Sc 2.81
Ge: 0.4996 0.7500 0.8616  2 Ge 2.55, 2 H 2.79-2.82, 4 Sc 2.81
H: 0.0058 0.2500 0.8609  2 Sc 1.97
H: 0.4942 0.7500 0.3609  2 Sc 1.97
H: 0.5058 0.2500 0.6391  2 Sc 1.97
H: 0.9942 0.7500 0.1391  2 Sc 1.97

Arrangement ii

Compound: ScGeH
Source: Alexandria
Functional: PBE
Structure: optimized geometry

Cell: 5.4581 4.5917 8.4374 Å, 90.00 90.00 90.00°
With the nearest neighbours (Å) after each atom.
Fractional coordinates of all 12 atoms:
Sc: 0.2368 0.2500 0.0749  3 H 2.17-2.42
Sc: 0.2632 0.7500 0.5749  3 H 2.17-2.42
Sc: 0.7368 0.2500 0.4251  3 H 2.17-2.42
Sc: 0.7632 0.7500 0.9251  3 H 2.17-2.42
Ge: 0.2256 0.2500 0.3938  1 H 1.69
Ge: 0.2744 0.7500 0.8938  1 H 1.69
Ge: 0.7256 0.2500 0.1062  1 H 1.69
Ge: 0.7744 0.7500 0.6062  1 H 1.69
H: 0.1011 0.7500 0.0604  1 Ge 1.69
H: 0.3989 0.2500 0.5604  1 Ge 1.69
H: 0.6011 0.7500 0.4396  1 Ge 1.69
H: 0.8989 0.2500 0.9396  1 Ge 1.69

In terms of stability, arrangement i leads; the second structure lies 153 meV per atom higher.

Arrangement i

Compound: ScGeH
Source: Alexandria
Functional: PBE
Structure: optimized geometry

Cell: 3.4725 14.0635 3.6575 Å, 90.00 90.00 90.00°
With the nearest neighbours (Å) after each atom.
Fractional coordinates of all 12 atoms:
Sc: 0.0000 0.0923 0.2500  6 H 2.59-2.66, 4 Ge 2.82-2.87
Sc: 0.0000 0.9077 0.7500  6 H 2.59-2.66, 4 Ge 2.82-2.87
Sc: 0.5000 0.4077 0.7500  6 H 2.59-2.66, 4 Ge 2.82-2.87
Sc: 0.5000 0.5923 0.2500  6 H 2.59-2.66, 4 Ge 2.82-2.87
Ge: 0.0000 0.2499 0.7500  4 Ge 2.52, 2 Sc 2.82
Ge: 0.0000 0.7501 0.2500  4 Ge 2.52, 2 Sc 2.82
Ge: 0.5000 0.2501 0.2500  4 Ge 2.52, 2 Sc 2.82
Ge: 0.5000 0.7499 0.7500  4 Ge 2.52, 2 Sc 2.82
H: 0.0000 0.4490 0.2500  2 H 2.32, 4 Sc 2.59
H: 0.0000 0.5510 0.7500  2 H 2.32, 4 Sc 2.59
H: 0.5000 0.0510 0.7500  2 H 2.32, 4 Sc 2.59
H: 0.5000 0.9490 0.2500  2 H 2.32, 4 Sc 2.59

Arrangement ii

Compound: ScGeH
Source: Alexandria
Functional: PBE
Structure: optimized geometry

Cell: 8.7365 3.3336 5.7917 Å, 90.00 90.00 90.00°
With the nearest neighbours (Å) after each atom.
Fractional coordinates of all 12 atoms:
Sc: 0.0111 0.2500 0.2351  3 H 1.98-1.99
Sc: 0.4889 0.7500 0.7351  3 H 1.98-1.99
Sc: 0.5111 0.2500 0.2649  3 H 1.98-1.99
Sc: 0.9889 0.7500 0.7649  3 H 1.98-1.99
Ge: 0.2342 0.2500 0.5840  3 H 2.34-2.60
Ge: 0.2658 0.7500 0.0840  3 H 2.34-2.60
Ge: 0.7342 0.2500 0.9160  3 H 2.34-2.60
Ge: 0.7658 0.7500 0.4160  3 H 2.34-2.60
H: 0.0710 0.2500 0.9047  3 Sc 1.98-1.99
H: 0.4290 0.7500 0.4047  3 Sc 1.98-1.99
H: 0.5710 0.2500 0.5953  3 Sc 1.98-1.99
H: 0.9290 0.7500 0.0953  3 Sc 1.98-1.99

In terms of stability, arrangement ii leads; the second structure lies 316 meV per atom higher.

Arrangement i

Compound: ScGeH3
Source: Alexandria
Functional: PBE
Structure: optimized geometry

Cell: 3.7114 3.7114 3.7114 Å, 90.00 90.00 90.00°
With the nearest neighbours (Å) after each atom.
Fractional coordinates of all 5 atoms:
Sc: 0.0000 0.0000 0.0000  12 H 2.62
Ge: 0.5000 0.5000 0.5000  6 H 1.86
H: 0.0000 0.5000 0.5000  2 Ge 1.86
H: 0.5000 0.0000 0.5000  2 Ge 1.86
H: 0.5000 0.5000 0.0000  2 Ge 1.86

Arrangement ii

Compound: ScGeH3
Source: Alexandria
Functional: PBE
Structure: optimized geometry

Cell: 3.7910 3.7910 3.7910 Å, 90.00 90.00 90.00°
With the nearest neighbours (Å) after each atom.
Fractional coordinates of all 5 atoms:
Sc: 0.0000 0.0000 0.0000  6 H 1.90
Ge: 0.5000 0.5000 0.5000  12 H 2.68
H: 0.0000 0.0000 0.5000  2 Sc 1.90
H: 0.0000 0.5000 0.0000  2 Sc 1.90
H: 0.5000 0.0000 0.0000  2 Sc 1.90

In terms of stability, arrangement ii leads; the second structure lies 279 meV per atom higher.

Arrangement i

Compound: Ge3HSe
Source: Alexandria
Functional: PBE
Structure: optimized geometry

Cell: 5.2429 5.2429 5.2429 Å, 90.00 90.00 90.00°
With the nearest neighbours (Å) after each atom.
Fractional coordinates of all 5 atoms:
Ge: 0.0000 0.0000 0.5000  2 Se 2.62
Ge: 0.0000 0.5000 0.0000  2 Se 2.62
Ge: 0.5000 0.0000 0.0000  2 Se 2.62
H: 0.5000 0.5000 0.5000  12 Ge 3.71
Se: 0.0000 0.0000 0.0000  6 Ge 2.62

Arrangement ii

Compound: Ge3HSe
Source: Alexandria
Functional: PBE
Structure: optimized geometry

Cell: 4.4119 4.4119 4.4119 Å, 90.00 90.00 90.00°
With the nearest neighbours (Å) after each atom.
Fractional coordinates of all 5 atoms:
Ge: 0.0000 0.0000 0.5000  2 H 2.21
Ge: 0.0000 0.5000 0.0000  2 H 2.21
Ge: 0.5000 0.0000 0.0000  2 H 2.21
H: 0.0000 0.0000 0.0000  6 Ge 2.21
Se: 0.5000 0.5000 0.5000  12 Ge 3.12

In terms of stability, arrangement ii leads; the second structure lies 701 meV per atom higher.

Arrangement i

Compound: Ge2HSe
Source: Alexandria
Functional: PBE
Structure: optimized geometry

Cell: 6.5275 6.5275 6.5275 Å, 90.00 90.00 90.00°
With the nearest neighbours (Å) after each atom.
Fractional coordinates of all 16 atoms:
Ge: 0.2500 0.2500 0.2500  4 H 2.83, 4 Se 2.83
Ge: 0.2500 0.2500 0.7500  4 H 2.83, 4 Se 2.83
Ge: 0.2500 0.7500 0.2500  4 H 2.83, 4 Se 2.83
Ge: 0.2500 0.7500 0.7500  4 H 2.83, 4 Se 2.83
Ge: 0.7500 0.2500 0.2500  4 H 2.83, 4 Se 2.83
Ge: 0.7500 0.2500 0.7500  4 H 2.83, 4 Se 2.83
Ge: 0.7500 0.7500 0.2500  4 H 2.83, 4 Se 2.83
Ge: 0.7500 0.7500 0.7500  4 Se 2.83, 4 H 2.83
H: 0.0000 0.0000 0.0000  8 Ge 2.83
H: 0.0000 0.5000 0.5000  8 Ge 2.83
H: 0.5000 0.0000 0.5000  8 Ge 2.83
H: 0.5000 0.5000 0.0000  8 Ge 2.83
Se: 0.0000 0.0000 0.5000  8 Ge 2.83
Se: 0.0000 0.5000 0.0000  8 Ge 2.83
Se: 0.5000 0.0000 0.0000  8 Ge 2.83
Se: 0.5000 0.5000 0.5000  8 Ge 2.83

Arrangement ii

Compound: Ge2HSe
Source: Alexandria
Functional: PBE
Structure: optimized geometry

Cell: 4.8955 4.8955 13.1545 Å, 90.00 90.00 90.00°
With the nearest neighbours (Å) after each atom.
Fractional coordinates of all 16 atoms:
Ge: 0.1281 0.2500 0.1250  2 H 2.14
Ge: 0.2500 0.6281 0.3750  2 H 2.14
Ge: 0.2500 0.8719 0.8750  2 H 2.14
Ge: 0.3719 0.2500 0.6250  2 H 2.14
Ge: 0.6281 0.7500 0.6250  2 H 2.14
Ge: 0.7500 0.1281 0.8750  2 H 2.14
Ge: 0.7500 0.3719 0.3750  2 H 2.14
Ge: 0.8719 0.7500 0.1250  2 H 2.14
H: 0.0000 0.0000 0.0000  4 Ge 2.14
H: 0.0000 0.5000 0.2500  4 Ge 2.14
H: 0.5000 0.0000 0.7500  4 Ge 2.14
H: 0.5000 0.5000 0.5000  4 Ge 2.14
Se: 0.0000 0.0000 0.5000  4 Ge 2.74
Se: 0.0000 0.5000 0.7500  4 Ge 2.74
Se: 0.5000 0.0000 0.2500  4 Ge 2.74
Se: 0.5000 0.5000 0.0000  4 Ge 2.74

In terms of stability, arrangement ii leads; the second structure lies 240 meV per atom higher.

Arrangement i

Compound: Si3GeH
Source: Alexandria
Functional: PBE
Structure: optimized geometry

Cell: 4.0876 4.0876 4.0876 Å, 90.00 90.00 90.00°
With the nearest neighbours (Å) after each atom.
Fractional coordinates of all 5 atoms:
Si: 0.0000 0.0000 0.5000  2 H 2.04
Si: 0.0000 0.5000 0.0000  2 H 2.04
Si: 0.5000 0.0000 0.0000  2 H 2.04
Ge: 0.5000 0.5000 0.5000  12 Si 2.89
H: 0.0000 0.0000 0.0000  6 Si 2.04

Arrangement ii

Compound: Si3GeH
Source: Alexandria
Functional: PBE
Structure: optimized geometry

Cell: 4.8116 4.8116 4.8116 Å, 90.00 90.00 90.00°
With the nearest neighbours (Å) after each atom.
Fractional coordinates of all 5 atoms:
Si: 0.0000 0.0000 0.5000  2 Ge 2.41
Si: 0.0000 0.5000 0.0000  2 Ge 2.41
Si: 0.5000 0.0000 0.0000  2 Ge 2.41
Ge: 0.0000 0.0000 0.0000  6 Si 2.41
H: 0.5000 0.5000 0.5000  12 Si 3.40

In terms of stability, arrangement i leads; the second structure lies 904 meV per atom higher.

Arrangement i

Compound: SiGe3H
Source: Alexandria
Functional: PBE
Structure: optimized geometry

Cell: 4.2808 4.2808 4.2808 Å, 90.00 90.00 90.00°
With the nearest neighbours (Å) after each atom.
Fractional coordinates of all 5 atoms:
Si: 0.0000 0.0000 0.0000  12 Ge 3.03
Ge: 0.0000 0.5000 0.5000  2 H 2.14
Ge: 0.5000 0.0000 0.5000  2 H 2.14
Ge: 0.5000 0.5000 0.0000  2 H 2.14
H: 0.5000 0.5000 0.5000  6 Ge 2.14

Arrangement ii

Compound: SiGe3H
Source: Alexandria
Functional: PBE
Structure: optimized geometry

Cell: 4.8073 4.8073 4.8073 Å, 90.00 90.00 90.00°
With the nearest neighbours (Å) after each atom.
Fractional coordinates of all 5 atoms:
Si: 0.0000 0.0000 0.0000  6 Ge 2.40
Ge: 0.0000 0.0000 0.5000  2 Si 2.40
Ge: 0.0000 0.5000 0.0000  2 Si 2.40
Ge: 0.5000 0.0000 0.0000  2 Si 2.40
H: 0.5000 0.5000 0.5000  12 Ge 3.40

In terms of stability, arrangement i leads; the second structure lies 538 meV per atom higher.